Entry from Alexandria via LeMat-Bulk: a geometry-optimized CuAgW3 structure (PBEsol).

Geometry as CIF:
```
data_CuAgW3
_chemical_formula_sum 'Cu1 Ag1 W3'
_space_group_name_H-M_alt 'P 1'
_space_group_IT_number 1
_cell_length_a 4.694
_cell_length_b 4.694
_cell_length_c 4.694
_cell_angle_alpha 90.00
_cell_angle_beta 90.00
_cell_angle_gamma 90.00
loop_
_space_group_symop_operation_xyz
'x,y,z'
loop_
_atom_site_label
_atom_site_type_symbol
_atom_site_fract_x
_atom_site_fract_y
_atom_site_fract_z
Cu1 Cu 0.000 0.000 0.000
Ag1 Ag 0.500 0.500 0.500
W1 W 0.000 0.500 0.500
W2 W 0.500 0.000 0.500
W3 W 0.500 0.500 0.000
```

- formation energy (meV per atom) = 3136
- symmetry = Pm-3m (221)

=====

Entry from Alexandria via LeMat-Bulk: a geometry-optimized Cs2KCeCl6 structure (PBEsol).

Geometry as CIF:
```
data_Cs2KCeCl6
_chemical_formula_sum 'Cs2 K1 Ce1 Cl6'
_space_group_name_H-M_alt 'P 1'
_space_group_IT_number 1
_cell_length_a 7.997
_cell_length_b 7.997
_cell_length_c 7.997
_cell_angle_alpha 60.00
_cell_angle_beta 60.00
_cell_angle_gamma 60.00
loop_
_space_group_symop_operation_xyz
'x,y,z'
loop_
_atom_site_label
_atom_site_type_symbol
_atom_site_fract_x
_atom_site_fract_y
_atom_site_fract_z
Cs1 Cs 0.250 0.250 0.250
Cs2 Cs 0.750 0.750 0.750
K1 K 0.000 0.000 0.000
Ce1 Ce 0.500 0.500 0.500
Cl1 Cl 0.260 0.260 0.740
Cl2 Cl 0.260 0.740 0.260
Cl3 Cl 0.260 0.740 0.740
Cl4 Cl 0.740 0.260 0.260
Cl5 Cl 0.740 0.260 0.740
Cl6 Cl 0.740 0.740 0.260
```

- symmetry = Fm-3m (225)
- raw total energy (eV per cell) = -42.20

=====

Entry from Alexandria via LeMat-Bulk: a geometry-optimized CeMgTl structure (PBEsol).

Geometry as CIF:
```
data_CeMgTl
_chemical_formula_sum 'Ce3 Mg3 Tl3'
_space_group_name_H-M_alt 'P 1'
_space_group_IT_number 1
_cell_length_a 7.608
_cell_length_b 7.608
_cell_length_c 4.712
_cell_angle_alpha 90.00
_cell_angle_beta 90.00
_cell_angle_gamma 120.00
loop_
_space_group_symop_operation_xyz
'x,y,z'
loop_
_atom_site_label
_atom_site_type_symbol
_atom_site_fract_x
_atom_site_fract_y
_atom_site_fract_z
Ce1 Ce 0.000 0.574 0.000
Ce2 Ce 0.426 0.426 0.000
Ce3 Ce 0.574 0.000 0.000
Mg1 Mg 0.000 0.242 0.500
Mg2 Mg 0.242 0.000 0.500
Mg3 Mg 0.758 0.758 0.500
Tl1 Tl 0.000 0.000 0.000
Tl2 Tl 0.333 0.667 0.500
Tl3 Tl 0.667 0.333 0.500
```

- formation energy (meV per atom) = -195
- symmetry = P-62m (189)

=====

Entry from Alexandria via LeMat-Bulk: a geometry-optimized MoIr2 structure (PBEsol).

Geometry as CIF:
```
data_MoIr2
_chemical_formula_sum 'Mo1 Ir2'
_space_group_name_H-M_alt 'P 1'
_space_group_IT_number 1
_cell_length_a 4.375
_cell_length_b 4.375
_cell_length_c 2.674
_cell_angle_alpha 90.00
_cell_angle_beta 90.00
_cell_angle_gamma 120.00
loop_
_space_group_symop_operation_xyz
'x,y,z'
loop_
_atom_site_label
_atom_site_type_symbol
_atom_site_fract_x
_atom_site_fract_y
_atom_site_fract_z
Mo1 Mo 0.000 0.000 0.000
Ir1 Ir 0.333 0.667 0.264
Ir2 Ir 0.667 0.333 0.736
```

- formation energy (meV per atom) = 155
- symmetry = P-3m1 (164)

=====

Entry from Alexandria via LeMat-Bulk: a geometry-optimized MgZn2Au structure (PBEsol).

Geometry as CIF:
```
data_MgZn2Au
_chemical_formula_sum 'Mg1 Zn2 Au1'
_space_group_name_H-M_alt 'P 1'
_space_group_IT_number 1
_cell_length_a 4.775
_cell_length_b 4.775
_cell_length_c 4.026
_cell_angle_alpha 114.76
_cell_angle_beta 114.76
_cell_angle_gamma 49.61
loop_
_space_group_symop_operation_xyz
'x,y,z'
loop_
_atom_site_label
_atom_site_type_symbol
_atom_site_fract_x
_atom_site_fract_y
_atom_site_fract_z
Mg1 Mg 0.000 0.000 0.000
Zn1 Zn 0.250 0.250 0.750
Zn2 Zn 0.750 0.750 0.250
Au1 Au 0.500 0.500 0.500
```

- formation energy (meV per atom) = -267
- symmetry = C2/m (12)

=====

Entry from Alexandria via LeMat-Bulk: a geometry-optimized BaHgMo2 structure (PBEsol).

Geometry as CIF:
```
data_BaHgMo2
_chemical_formula_sum 'Ba1 Hg1 Mo2'
_space_group_name_H-M_alt 'P 1'
_space_group_IT_number 1
_cell_length_a 2.907
_cell_length_b 5.310
_cell_length_c 5.433
_cell_angle_alpha 90.00
_cell_angle_beta 90.00
_cell_angle_gamma 90.00
loop_
_space_group_symop_operation_xyz
'x,y,z'
loop_
_atom_site_label
_atom_site_type_symbol
_atom_site_fract_x
_atom_site_fract_y
_atom_site_fract_z
Ba1 Ba 0.000 0.000 0.000
Hg1 Hg 0.500 0.000 0.500
Mo1 Mo 0.000 0.500 0.500
Mo2 Mo 0.500 0.500 0.000
```

- formation energy (meV per atom) = 1148
- symmetry = Pmmm (47)

=====

Entry from Alexandria via LeMat-Bulk: a geometry-optimized CaCrBiO5 structure (PBEsol).

Geometry as CIF:
```
data_CaCrBiO5
_chemical_formula_sum 'Ca8 Cr8 Bi8 O40'
_space_group_name_H-M_alt 'P 1'
_space_group_IT_number 1
_cell_length_a 5.429
_cell_length_b 15.355
_cell_length_c 11.138
_cell_angle_alpha 90.00
_cell_angle_beta 90.00
_cell_angle_gamma 90.00
loop_
_space_group_symop_operation_xyz
'x,y,z'
loop_
_atom_site_label
_atom_site_type_symbol
_atom_site_fract_x
_atom_site_fract_y
_atom_site_fract_z
Ca1 Ca 0.006 0.054 0.142
Ca2 Ca 0.006 0.446 0.642
Ca3 Ca 0.494 0.554 0.142
Ca4 Ca 0.494 0.946 0.642
Ca5 Ca 0.506 0.054 0.358
Ca6 Ca 0.506 0.446 0.858
Ca7 Ca 0.994 0.554 0.358
Ca8 Ca 0.994 0.946 0.858
Cr1 Cr 0.013 0.098 0.595
Cr2 Cr 0.013 0.402 0.095
Cr3 Cr 0.487 0.598 0.595
Cr4 Cr 0.487 0.902 0.095
Cr5 Cr 0.513 0.098 0.905
Cr6 Cr 0.513 0.402 0.405
Cr7 Cr 0.987 0.598 0.905
Cr8 Cr 0.987 0.902 0.405
Bi1 Bi 0.045 0.736 0.152
Bi2 Bi 0.045 0.764 0.652
Bi3 Bi 0.455 0.236 0.152
Bi4 Bi 0.455 0.264 0.652
Bi5 Bi 0.545 0.736 0.348
Bi6 Bi 0.545 0.764 0.848
Bi7 Bi 0.955 0.236 0.348
Bi8 Bi 0.955 0.264 0.848
O1 O 0.053 0.196 0.668
O2 O 0.053 0.304 0.168
O3 O 0.127 0.526 0.816
O4 O 0.127 0.974 0.316
O5 O 0.169 0.623 0.026
O6 O 0.169 0.877 0.526
O7 O 0.205 0.568 0.546
O8 O 0.205 0.932 0.046
O9 O 0.241 0.154 0.267
O10 O 0.241 0.346 0.767
O11 O 0.259 0.654 0.267
O12 O 0.259 0.846 0.767
O13 O 0.295 0.068 0.546
O14 O 0.295 0.432 0.046
O15 O 0.331 0.123 0.026
O16 O 0.331 0.377 0.526
O17 O 0.373 0.026 0.816
O18 O 0.373 0.474 0.316
O19 O 0.447 0.696 0.668
O20 O 0.447 0.804 0.168
O21 O 0.553 0.196 0.832
O22 O 0.553 0.304 0.332
O23 O 0.627 0.526 0.684
O24 O 0.627 0.974 0.184
O25 O 0.669 0.623 0.474
O26 O 0.669 0.877 0.974
O27 O 0.705 0.568 0.954
O28 O 0.705 0.932 0.454
O29 O 0.741 0.154 0.233
O30 O 0.741 0.346 0.733
O31 O 0.759 0.654 0.233
O32 O 0.759 0.846 0.733
O33 O 0.795 0.068 0.954
O34 O 0.795 0.432 0.454
O35 O 0.831 0.123 0.474
O36 O 0.831 0.377 0.974
O37 O 0.873 0.026 0.684
O38 O 0.873 0.474 0.184
O39 O 0.947 0.696 0.832
O40 O 0.947 0.804 0.332
```

- symmetry = Pbca (61)
- raw total energy (eV per cell) = -473.26

=====

Entry from Alexandria via LeMat-Bulk: a geometry-optimized Zr2AgGe2 structure (PBEsol).

Geometry as CIF:
```
data_Zr2AgGe2
_chemical_formula_sum 'Zr4 Ag2 Ge4'
_space_group_name_H-M_alt 'P 1'
_space_group_IT_number 1
_cell_length_a 6.825
_cell_length_b 6.825
_cell_length_c 3.868
_cell_angle_alpha 90.00
_cell_angle_beta 90.00
_cell_angle_gamma 90.00
loop_
_space_group_symop_operation_xyz
'x,y,z'
loop_
_atom_site_label
_atom_site_type_symbol
_atom_site_fract_x
_atom_site_fract_y
_atom_site_fract_z
Zr1 Zr 0.177 0.323 0.000
Zr2 Zr 0.323 0.823 0.000
Zr3 Zr 0.677 0.177 0.000
Zr4 Zr 0.823 0.677 0.000
Ag1 Ag 0.000 0.000 0.500
Ag2 Ag 0.500 0.500 0.500
Ge1 Ge 0.127 0.627 0.500
Ge2 Ge 0.373 0.127 0.500
Ge3 Ge 0.627 0.873 0.500
Ge4 Ge 0.873 0.373 0.500
```

- formation energy (meV per atom) = -628
- symmetry = P4/mbm (127)

=====

Entry from Alexandria via LeMat-Bulk: a geometry-optimized Li2ScAgSe structure (PBEsol).

Geometry as CIF:
```
data_Li2ScAgSe
_chemical_formula_sum 'Li2 Sc1 Ag1 Se1'
_space_group_name_H-M_alt 'P 1'
_space_group_IT_number 1
_cell_length_a 5.233
_cell_length_b 5.233
_cell_length_c 4.953
_cell_angle_alpha 90.00
_cell_angle_beta 90.00
_cell_angle_gamma 90.00
loop_
_space_group_symop_operation_xyz
'x,y,z'
loop_
_atom_site_label
_atom_site_type_symbol
_atom_site_fract_x
_atom_site_fract_y
_atom_site_fract_z
Li1 Li 0.000 0.500 0.000
Li2 Li 0.500 0.000 0.000
Sc1 Sc 0.000 0.000 0.000
Ag1 Ag 0.000 0.000 0.500
Se1 Se 0.500 0.500 0.500
```

- symmetry = P4/mmm (123)
- raw total energy (eV per cell) = -13.31

=====

Entry from Alexandria via LeMat-Bulk: a geometry-optimized Zr3Ta structure (PBEsol).

Geometry as CIF:
```
data_Zr3Ta
_chemical_formula_sum 'Zr3 Ta1'
_space_group_name_H-M_alt 'P 1'
_space_group_IT_number 1
_cell_length_a 4.376
_cell_length_b 4.376
_cell_length_c 4.376
_cell_angle_alpha 90.00
_cell_angle_beta 90.00
_cell_angle_gamma 90.00
loop_
_space_group_symop_operation_xyz
'x,y,z'
loop_
_atom_site_label
_atom_site_type_symbol
_atom_site_fract_x
_atom_site_fract_y
_atom_site_fract_z
Zr1 Zr 0.000 0.000 0.500
Zr2 Zr 0.000 0.500 0.000
Zr3 Zr 0.500 0.000 0.000
Ta1 Ta 0.500 0.500 0.500
```

- formation energy (meV per atom) = 166
- symmetry = Pm-3m (221)

=====

Entry from Alexandria via LeMat-Bulk: a geometry-optimized BaSe2Cl structure (PBEsol).

Geometry as CIF:
```
data_BaSe2Cl
_chemical_formula_sum 'Ba1 Se2 Cl1'
_space_group_name_H-M_alt 'P 1'
_space_group_IT_number 1
_cell_length_a 4.150
_cell_length_b 4.150
_cell_length_c 5.931
_cell_angle_alpha 90.00
_cell_angle_beta 90.00
_cell_angle_gamma 90.00
loop_
_space_group_symop_operation_xyz
'x,y,z'
loop_
_atom_site_label
_atom_site_type_symbol
_atom_site_fract_x
_atom_site_fract_y
_atom_site_fract_z
Ba1 Ba 0.000 0.000 0.000
Se1 Se 0.000 0.500 0.500
Se2 Se 0.500 0.000 0.500
Cl1 Cl 0.500 0.500 0.000
```

- symmetry = P4/mmm (123)
- raw total energy (eV per cell) = -17.12

=====

Entry from Alexandria via LeMat-Bulk: a geometry-optimized ScTlZn2 structure (PBEsol).

Geometry as CIF:
```
data_ScTlZn2
_chemical_formula_sum 'Sc1 Tl1 Zn2'
_space_group_name_H-M_alt 'P 1'
_space_group_IT_number 1
_cell_length_a 8.829
_cell_length_b 8.829
_cell_length_c 8.829
_cell_angle_alpha 21.38
_cell_angle_beta 21.38
_cell_angle_gamma 21.38
loop_
_space_group_symop_operation_xyz
'x,y,z'
loop_
_atom_site_label
_atom_site_type_symbol
_atom_site_fract_x
_atom_site_fract_y
_atom_site_fract_z
Sc1 Sc 0.000 0.000 0.000
Tl1 Tl 0.762 0.762 0.762
Zn1 Zn 0.252 0.252 0.252
Zn2 Zn 0.516 0.516 0.516
```

- formation energy (meV per atom) = 67
- symmetry = R3m (160)